Computed, not measured: Sc2Ru2N at its PBEsol-relaxed geometry at the meta-GGA SCAN level of DFT.

Unit cell a=4.8458 b=4.8458 c=4.8458 alpha=97.78 beta=115.61 gamma=115.61
Atoms (fractional coordinates):
Ru1 0.0000 0.2875 0.2875
Ru2 0.0000 0.7125 0.7125
Sc1 0.5000 0.7500 0.2500
Sc2 0.5000 0.2500 0.7500
N1 0.0000 0.0000 0.0000

Space-group type ... I4/mmm (139)
N(E_F) ... 3.57 states/eV per cell
Formation energy from raw total energies ... 0.1481 eV/atom
Magnetization ... 0.0 μB per formula unit

Computed, not measured: BaZn at its PBEsol-relaxed geometry at the meta-GGA SCAN level of DFT.

Unit cell a=4.0035 b=4.0035 c=4.0035 alpha=90.00 beta=90.00 gamma=90.00
Atoms (fractional coordinates):
Ba1 0.0000 0.0000 0.0000
Zn1 0.5000 0.5000 0.5000

Space-group type ... Pm-3m (221)
N(E_F) ... 1.49 states/eV per cell
Energy relative to the elements ... -171.0 meV/atom
Magnetization ... 0.0 μB per formula unit